# 1
# BiMo2Pt PBE-GGA relaxed
data_BiMo2Pt
_chemical_formula_sum 'Bi4 Mo8 Pt4'
_cell_length_a 6.0469
_cell_length_b 6.0469
_cell_length_c 11.8076
_cell_angle_alpha 90.00
_cell_angle_beta 90.00
_cell_angle_gamma 90.00
_symmetry_space_group_name_H-M 'I -4 2 d'
_symmetry_Int_Tables_number 122
_symmetry_space_group_name_Hall 'I -4 2bw'
loop_
_atom_site_label
_atom_site_type_symbol
_atom_site_fract_x
_atom_site_fract_y
_atom_site_fract_z
Bi1 Bi 0.0000 0.0000 0.0000
Mo1 Mo 0.2034 0.2500 0.6250
Pt1 Pt 0.0000 0.0000 0.5000
# **Magnetization**: 4.59 μB/cell
# **Formation energy**: 1.1894 eV/atom
# **DOS(E_F)**: 11.13 states/eV per cell
# **Calculated total energy**: -26.8 eV/f.u.

***

# 2
# BiMoPt3 PBE-GGA relaxed
data_BiMoPt3
_chemical_formula_sum 'Bi1 Mo1 Pt3'
_cell_length_a 4.8680
_cell_length_b 4.8680
_cell_length_c 4.8680
_cell_angle_alpha 90.00
_cell_angle_beta 90.00
_cell_angle_gamma 90.00
_symmetry_space_group_name_H-M 'P m -3 m'
_symmetry_Int_Tables_number 221
_symmetry_space_group_name_Hall '-P 4 2 3'
loop_
_atom_site_label
_atom_site_type_symbol
_atom_site_fract_x
_atom_site_fract_y
_atom_site_fract_z
Bi1 Bi 0.0000 0.0000 0.0000
Mo1 Mo 0.5000 0.5000 0.5000
Pt1 Pt 0.0000 0.5000 0.5000
# **Magnetization**: 0.00 μB/cell
# **Formation energy**: 0.7978 eV/atom
# **DOS(E_F)**: 4.44 states/eV per cell
# **E above lowest polymorph**: 0.000 eV per atom
# **Calculated total energy**: -28.8 eV/f.u.